Below is a geometry-optimized Zr6CoSn2 structure, with properties calculated at the GGA-PBEsol level.

mass density: 7.556 g/cm3
calculated total energy: -8.34 eV per atom
V: 20.6 Å³/atom

Structure (CIF):
```
data_Zr6CoSn2
_symmetry_space_group_name_H-M 'P -6 2 m'
_symmetry_Int_Tables_number 189
_symmetry_space_group_name_Hall 'P -6 -2'
_cell_length_a 7.8806
_cell_length_b 7.8806
_cell_length_c 3.4476
_cell_angle_alpha 90.00
_cell_angle_beta 90.00
_cell_angle_gamma 120.00
loop_
_atom_site_label
_atom_site_type_symbol
_atom_site_fract_x
_atom_site_fract_y
_atom_site_fract_z
Zr1 Zr 0.0000 0.3963 0.0000
Zr2 Zr 0.0000 0.7583 0.5000
Co1 Co 0.0000 0.0000 0.0000
Sn1 Sn 0.3333 0.6667 0.5000
```

=====

Below is a geometry-optimized Co2Ir structure, with properties calculated at the GGA-PBEsol level.

mass density: 14.904 g/cm3
ΔE to the lowest computed polymorph: 15 meV/atom
V: 11.5 Å³/atom

Structure (CIF):
```
data_Co2Ir
_symmetry_space_group_name_H-M 'P n m a'
_symmetry_Int_Tables_number 62
_symmetry_space_group_name_Hall '-P 2ac 2n'
_cell_length_a 5.061
_cell_length_b 3.604
_cell_length_c 7.577
_cell_angle_alpha 90.00
_cell_angle_beta 90.00
_cell_angle_gamma 90.00
loop_
_atom_site_label
_atom_site_type_symbol
_atom_site_fract_x
_atom_site_fract_y
_atom_site_fract_z
Co1 Co 0.120 0.250 0.249
Co2 Co 0.123 0.250 0.917
Ir1 Ir 0.133 0.250 0.587
```

=====

Below is a geometry-optimized MoRh2 structure, with properties calculated at the GGA-PBEsol level.

mass density: 11.824 g/cm3
calculated total energy: -9.50 eV per atom
V: 14.1 Å³/atom

Structure (CIF):
```
data_MoRh2
_symmetry_space_group_name_H-M 'P -6 2 m'
_symmetry_Int_Tables_number 189
_symmetry_space_group_name_Hall 'P -6 -2'
_cell_length_a 7.3541
_cell_length_b 7.3541
_cell_length_c 2.7142
_cell_angle_alpha 90.00
_cell_angle_beta 90.00
_cell_angle_gamma 120.00
loop_
_atom_site_label
_atom_site_type_symbol
_atom_site_fract_x
_atom_site_fract_y
_atom_site_fract_z
Mo1 Mo 0.0000 0.0000 0.0000
Mo2 Mo 0.3333 0.6667 0.5000
Rh1 Rh 0.0000 0.3035 0.5000
Rh2 Rh 0.0000 0.6411 0.0000
```

=====

- Which of these has the lowest mass density?
  Zr6CoSn2

=====

- Which formula does entry 1 have?
  Zr6CoSn2

=====

Please write out number 1 again, unchanged.
Below is a geometry-optimized Zr6CoSn2 structure, with properties calculated at the GGA-PBEsol level.

mass density: 7.556 g/cm3
calculated total energy: -8.34 eV per atom
V: 20.6 Å³/atom

Structure (CIF):
```
data_Zr6CoSn2
_symmetry_space_group_name_H-M 'P -6 2 m'
_symmetry_Int_Tables_number 189
_symmetry_space_group_name_Hall 'P -6 -2'
_cell_length_a 7.8806
_cell_length_b 7.8806
_cell_length_c 3.4476
_cell_angle_alpha 90.00
_cell_angle_beta 90.00
_cell_angle_gamma 120.00
loop_
_atom_site_label
_atom_site_type_symbol
_atom_site_fract_x
_atom_site_fract_y
_atom_site_fract_z
Zr1 Zr 0.0000 0.3963 0.0000
Zr2 Zr 0.0000 0.7583 0.5000
Co1 Co 0.0000 0.0000 0.0000
Sn1 Sn 0.3333 0.6667 0.5000
```

=====

- Which value of mass density does entry 1 give?
  7.556 g/cm3